Entry 1:
Computed, not measured: a relaxed ThMnCoGe2 crystal at the GGA-PBE level of DFT.

Cell lengths 5.803, 5.803, 5.803 Å; angles 138.36, 138.36, 60.35 degrees
Fractional coordinates of all 5 atoms:
Th (0.000, 0.000, 0.000)
Mn (0.750, 0.250, 0.500)
Co (0.250, 0.750, 0.500)
Ge (0.367, 0.367, 0.000)
Ge (0.633, 0.633, 0.000)

Values from the calculation:
V = 17.077 A^3/atom
Crystal system = tetragonal
Energy = -35.43 eV/cell
N(E_F) = 5.09 states/eV/cell
DFT formation energy = -499 meV per atom

=====

Entry 2:
Computed, not measured: a relaxed PPb2OF crystal at the GGA-PBE level of DFT.

Cell lengths 5.471, 5.471, 3.814 Å; angles 90.00, 90.00, 90.00 degrees
Fractional coordinates of all 5 atoms:
P (0.000, 0.000, 0.000)
Pb (0.000, 0.500, 0.000)
Pb (0.500, 0.000, 0.000)
O (0.500, 0.500, 0.500)
F (0.000, 0.000, 0.500)

Values from the calculation:
ΔE_f (raw) = -12 kJ/mol of atoms
V = 22.832 A^3/atom
Crystal system = tetragonal
Energy = -20.26 eV/cell
N(E_F) = 1.79 states/eV/cell

=====

Entry 3:
Computed, not measured: a relaxed V8As2C crystal at the GGA-PBE level of DFT.

Cell lengths 7.292, 7.292, 5.125 Å; angles 107.68, 107.68, 33.24 degrees
Fractional coordinates of all 11 atoms:
V (0.001, 0.001, 0.267)
V (0.217, 0.217, 0.616)
V (0.366, 0.366, 0.246)
V (0.415, 0.415, 0.793)
V (0.585, 0.585, 0.207)
V (0.634, 0.634, 0.754)
V (0.783, 0.783, 0.384)
V (0.999, 0.999, 0.733)
As (0.169, 0.169, 0.099)
As (0.831, 0.831, 0.901)
C (0.500, 0.500, 0.500)

Values from the calculation:
V = 12.879 A^3/atom
Crystal system = monoclinic
Energy = -94.05 eV/cell
N(E_F) = 8.20 states/eV/cell
DFT formation energy = -234 meV per atom

=====

> The lowest V belongs to which entry?

V8As2C

=====

> Number 3 is which compound?

V8As2C